[1]
This record from Alexandria via LeMat-Bulk describes Y2HPbO after structural relaxation. The functional is PBE.

POSCAR file:
```
Y2HPbO
1.0
-1.888 1.888 6.636
1.888 -1.888 6.636
1.888 1.888 -6.636
Y H Pb O
2 1 1 1
Direct
0.156 0.156 0.000
0.844 0.844 0.000
0.250 0.750 0.500
0.500 0.500 0.000
0.750 0.250 0.500
```

[2]
This record from Alexandria via LeMat-Bulk describes HPdO2 after structural relaxation. The functional is PBE.

POSCAR file:
```
HPdO2
1.0
0.000 2.557 2.557
2.557 0.000 2.557
2.557 2.557 0.000
H Pd O
1 1 2
Direct
0.000 0.000 0.000
0.500 0.500 0.500
0.250 0.250 0.250
0.750 0.750 0.750
```

[3]
This record from Alexandria via LeMat-Bulk describes HPdO2 after structural relaxation. The functional is PBE.

POSCAR file:
```
HPdO2
1.0
2.648 -3.328 0.000
2.648 3.328 0.000
-2.413 0.000 4.757
H Pd O
2 2 4
Direct
0.190 0.810 0.750
0.810 0.190 0.250
0.139 0.861 0.250
0.861 0.139 0.750
0.045 0.324 0.184
0.324 0.045 0.684
0.676 0.955 0.316
0.955 0.676 0.816
```

[4]
This record from Alexandria via LeMat-Bulk describes H2PdO after structural relaxation. The functional is PBE.

POSCAR file:
```
H2PdO
1.0
0.000 2.431 2.431
2.431 0.000 2.431
2.431 2.431 0.000
H Pd O
2 1 1
Direct
0.250 0.250 0.250
0.750 0.750 0.750
0.000 0.000 0.000
0.500 0.500 0.500
```

- E above lowest polymorph (meV per atom) = 609

[5]
This record from Alexandria via LeMat-Bulk describes HPdO2 after structural relaxation. The functional is PBE.

POSCAR file:
```
HPdO2
1.0
1.400 -8.296 0.000
1.400 8.296 0.000
0.000 0.000 4.000
H Pd O
2 2 4
Direct
0.248 0.752 0.750
0.752 0.248 0.250
0.073 0.927 0.750
0.927 0.073 0.250
0.045 0.955 0.250
0.190 0.810 0.750
0.810 0.190 0.250
0.955 0.045 0.750
```

[6]
This record from Alexandria via LeMat-Bulk describes H3PdO after structural relaxation. The functional is PBE.

POSCAR file:
```
H3PdO
1.0
3.433 0.000 0.000
0.000 3.433 0.000
0.000 0.000 3.433
H Pd O
3 1 1
Direct
0.000 0.000 0.500
0.000 0.500 0.000
0.500 0.000 0.000
0.000 0.000 0.000
0.500 0.500 0.500
```

- E above lowest polymorph (meV per atom) = 51

[7]
This record from Alexandria via LeMat-Bulk describes HPd2O after structural relaxation. The functional is PBE.

POSCAR file:
```
HPd2O
1.0
-2.305 2.305 4.378
2.305 -2.305 4.378
2.305 2.305 -4.378
H Pd O
2 4 2
Direct
0.000 0.000 0.000
0.750 0.250 0.500
0.071 0.625 0.946
0.375 0.321 0.446
0.679 0.125 0.054
0.875 0.929 0.554
0.250 0.750 0.500
0.500 0.500 0.000
```

- E above lowest polymorph (meV per atom) = 0

[8]
This record from Alexandria via LeMat-Bulk describes HPdO2 after structural relaxation. The functional is PBE.

POSCAR file:
```
HPdO2
1.0
3.053 0.000 0.000
0.000 3.053 0.000
0.000 0.000 3.914
H Pd O
1 1 2
Direct
0.000 0.000 0.000
0.500 0.500 0.500
0.000 0.000 0.500
0.500 0.500 0.000
```

VASP energy readings, ordered: -6.61; -4.08; -5.04; -3.61; -4.83; -3.38; -4.66; -4.30 eV per atom
Density of states at the Fermi level readings, ordered: 1.84; 2.05; 1.66; 1.69; 3.09; 4.39; 4.04; 2.20 states/eV/f.u.